# ZrCdHg

An optimized crystal structure of ZrCdHg (GGA-PBEsol, the Alexandria database).

Cell and atoms, written as POSCAR:
```
ZrCdHg
1.0
-1.5615 1.5615 6.2805
1.5615 -1.5615 6.2805
1.5615 1.5615 -6.2805
Zr Cd Hg
1 1 1
Direct
0.0000 0.0000 0.0000 Zr
0.3292 0.3292 0.0000 Cd
0.6637 0.6637 0.0000 Hg
```

Calculated values
Space group ... I4mm (107)
Total DFT energy (no corrections) ... -3.81 eV/atom
Calculated density ... 10.96 Mg/m³
Formation energy from the elements ... -0.193 eV/atom